1.
## TaAsI2N (SCAN)

Data for a crystal of TaAsI2N relaxed with PBEsol.

Cell and atoms, written as CIF:
```
data_TaAsI2N
_cell_length_a 5.667
_cell_length_b 5.667
_cell_length_c 3.557
_cell_angle_alpha 90.00
_cell_angle_beta 90.00
_cell_angle_gamma 90.00
_symmetry_space_group_name_H-M 'P 1'
_symmetry_Int_Tables_number 1
loop_
_symmetry_equiv_pos_as_xyz
'x,y,z'
loop_
_atom_site_label
_atom_site_fract_x
_atom_site_fract_y
_atom_site_fract_z
_atom_site_occupancy
Ta1 0.000 0.000 0.000 1
As1 0.500 0.500 0.500 1
I1 0.000 0.500 0.500 1
I2 0.500 0.000 0.500 1
N1 0.500 0.500 0.000 1
```

Summary:
D(E_F) ... 2.70 states/eV per cell
Calculated total energy ... -32.5433 eV per atom
Raw formation energy ... 1.37 eV per atom

---

2.
## Te2AsIN (SCAN)

Data for a crystal of Te2AsIN relaxed with PBEsol.

Cell and atoms, written as CIF:
```
data_Te2AsIN
_cell_length_a 5.834
_cell_length_b 5.834
_cell_length_c 3.598
_cell_angle_alpha 90.00
_cell_angle_beta 90.00
_cell_angle_gamma 90.00
_symmetry_space_group_name_H-M 'P 1'
_symmetry_Int_Tables_number 1
loop_
_symmetry_equiv_pos_as_xyz
'x,y,z'
loop_
_atom_site_label
_atom_site_fract_x
_atom_site_fract_y
_atom_site_fract_z
_atom_site_occupancy
Te1 0.000 0.500 0.000 1
Te2 0.500 0.000 0.000 1
As1 0.000 0.000 0.000 1
I1 0.500 0.500 0.500 1
N1 0.000 0.000 0.500 1
```

Summary:
D(E_F) ... 4.37 states/eV per cell
Calculated total energy ... -27.2689 eV per atom
Raw formation energy ... 0.88 eV per atom

---

3.
## Na2As2I (SCAN)

Data for a crystal of Na2As2I relaxed with PBEsol.

Cell and atoms, written as CIF:
```
data_Na2As2I
_cell_length_a 8.366
_cell_length_b 8.366
_cell_length_c 4.074
_cell_angle_alpha 90.00
_cell_angle_beta 90.00
_cell_angle_gamma 90.00
_symmetry_space_group_name_H-M 'P 1'
_symmetry_Int_Tables_number 1
loop_
_symmetry_equiv_pos_as_xyz
'x,y,z'
loop_
_atom_site_label
_atom_site_fract_x
_atom_site_fract_y
_atom_site_fract_z
_atom_site_occupancy
Na1 0.189 0.311 0.000 1
Na2 0.311 0.811 0.000 1
Na3 0.689 0.189 0.000 1
Na4 0.811 0.689 0.000 1
As1 0.094 0.594 0.500 1
As2 0.406 0.094 0.500 1
As3 0.594 0.906 0.500 1
As4 0.906 0.406 0.500 1
I1 0.000 0.000 0.000 1
I2 0.500 0.500 0.000 1
```

Summary:
D(E_F) ... 2.45 states/eV per cell
Calculated total energy ... -17.5645 eV per atom
Raw formation energy ... -0.45 eV per atom

---

4.
## NaAsI3 (SCAN)

Data for a crystal of NaAsI3 relaxed with PBEsol.

Cell and atoms, written as CIF:
```
data_NaAsI3
_cell_length_a 5.651
_cell_length_b 5.651
_cell_length_c 5.651
_cell_angle_alpha 90.00
_cell_angle_beta 90.00
_cell_angle_gamma 90.00
_symmetry_space_group_name_H-M 'P 1'
_symmetry_Int_Tables_number 1
loop_
_symmetry_equiv_pos_as_xyz
'x,y,z'
loop_
_atom_site_label
_atom_site_fract_x
_atom_site_fract_y
_atom_site_fract_z
_atom_site_occupancy
Na1 0.000 0.000 0.000 1
As1 0.500 0.500 0.500 1
I1 0.000 0.000 0.500 1
I2 0.000 0.500 0.000 1
I3 0.500 0.000 0.000 1
```

Summary:
D(E_F) ... 4.36 states/eV per cell
Calculated total energy ... -26.6230 eV per atom
Raw formation energy ... 0.30 eV per atom

---

5.
## NaAs4IO6 (SCAN)

Data for a crystal of NaAs4IO6 relaxed with PBEsol.

Cell and atoms, written as CIF:
```
data_NaAs4IO6
_cell_length_a 5.281
_cell_length_b 5.281
_cell_length_c 8.901
_cell_angle_alpha 90.00
_cell_angle_beta 90.00
_cell_angle_gamma 120.00
_symmetry_space_group_name_H-M 'P 1'
_symmetry_Int_Tables_number 1
loop_
_symmetry_equiv_pos_as_xyz
'x,y,z'
loop_
_atom_site_label
_atom_site_fract_x
_atom_site_fract_y
_atom_site_fract_z
_atom_site_occupancy
Na1 0.000 0.000 0.000 1
As1 0.333 0.667 0.287 1
As2 0.333 0.667 0.713 1
As3 0.667 0.333 0.287 1
As4 0.667 0.333 0.713 1
I1 0.000 0.000 0.500 1
O1 0.000 0.500 0.175 1
O2 0.000 0.500 0.825 1
O3 0.500 0.000 0.175 1
O4 0.500 0.000 0.825 1
O5 0.500 0.500 0.175 1
O6 0.500 0.500 0.825 1
```

Summary:
D(E_F) ... 0.00 states/eV per cell
Calculated total energy ... -14.5668 eV per atom
Raw formation energy ... -1.31 eV per atom

---

6.
## NbAsPd2I (SCAN)

Data for a crystal of NbAsPd2I relaxed with PBEsol.

Cell and atoms, written as CIF:
```
data_NbAsPd2I
_cell_length_a 4.770
_cell_length_b 4.770
_cell_length_c 5.423
_cell_angle_alpha 90.00
_cell_angle_beta 90.00
_cell_angle_gamma 90.00
_symmetry_space_group_name_H-M 'P 1'
_symmetry_Int_Tables_number 1
loop_
_symmetry_equiv_pos_as_xyz
'x,y,z'
loop_
_atom_site_label
_atom_site_fract_x
_atom_site_fract_y
_atom_site_fract_z
_atom_site_occupancy
Nb1 0.000 0.000 0.000 1
As1 0.500 0.500 0.000 1
Pd1 0.000 0.500 0.500 1
Pd2 0.500 0.000 0.500 1
I1 0.500 0.500 0.500 1
```

Summary:
D(E_F) ... 2.00 states/eV per cell
Calculated total energy ... -29.9195 eV per atom
Raw formation energy ... 1.20 eV per atom
Offset from the most stable computed form ... 0.510 eV per atom

---

7.
## NbAsPd2I (SCAN)

Data for a crystal of NbAsPd2I relaxed with PBEsol.

Cell and atoms, written as CIF:
```
data_NbAsPd2I
_cell_length_a 4.562
_cell_length_b 4.562
_cell_length_c 5.541
_cell_angle_alpha 90.00
_cell_angle_beta 90.00
_cell_angle_gamma 90.00
_symmetry_space_group_name_H-M 'P 1'
_symmetry_Int_Tables_number 1
loop_
_symmetry_equiv_pos_as_xyz
'x,y,z'
loop_
_atom_site_label
_atom_site_fract_x
_atom_site_fract_y
_atom_site_fract_z
_atom_site_occupancy
Nb1 0.000 0.000 0.000 1
As1 0.500 0.500 0.500 1
Pd1 0.000 0.500 0.500 1
Pd2 0.500 0.000 0.500 1
I1 0.500 0.500 0.000 1
```

Summary:
D(E_F) ... 3.40 states/eV per cell
Calculated total energy ... -30.4299 eV per atom
Raw formation energy ... 0.69 eV per atom
Offset from the most stable computed form ... 0.000 eV per atom

---

8.
## NbTeAsI2 (SCAN)

Data for a crystal of NbTeAsI2 relaxed with PBEsol.

Cell and atoms, written as CIF:
```
data_NbTeAsI2
_cell_length_a 5.487
_cell_length_b 5.487
_cell_length_c 5.382
_cell_angle_alpha 90.00
_cell_angle_beta 90.00
_cell_angle_gamma 90.00
_symmetry_space_group_name_H-M 'P 1'
_symmetry_Int_Tables_number 1
loop_
_symmetry_equiv_pos_as_xyz
'x,y,z'
loop_
_atom_site_label
_atom_site_fract_x
_atom_site_fract_y
_atom_site_fract_z
_atom_site_occupancy
Nb1 0.000 0.000 0.000 1
Te1 0.000 0.000 0.500 1
As1 0.500 0.500 0.500 1
I1 0.000 0.500 0.000 1
I2 0.500 0.000 0.000 1
```

Summary:
D(E_F) ... 2.58 states/eV per cell
Calculated total energy ... -32.3501 eV per atom
Raw formation energy ... 0.46 eV per atom

---

9.
## NiAsIO2 (SCAN)

Data for a crystal of NiAsIO2 relaxed with PBEsol.

Cell and atoms, written as CIF:
```
data_NiAsIO2
_cell_length_a 3.883
_cell_length_b 3.883
_cell_length_c 4.935
_cell_angle_alpha 90.00
_cell_angle_beta 90.00
_cell_angle_gamma 90.00
_symmetry_space_group_name_H-M 'P 1'
_symmetry_Int_Tables_number 1
loop_
_symmetry_equiv_pos_as_xyz
'x,y,z'
loop_
_atom_site_label
_atom_site_fract_x
_atom_site_fract_y
_atom_site_fract_z
_atom_site_occupancy
Ni1 0.000 0.000 0.000 1
As1 0.500 0.500 0.500 1
I1 0.000 0.000 0.500 1
O1 0.000 0.500 0.000 1
O2 0.500 0.000 0.000 1
```

Summary:
D(E_F) ... 2.58 states/eV per cell
Calculated total energy ... -16.8312 eV per atom
Raw formation energy ... 0.28 eV per atom

---

10.
## As2IO (SCAN)

Data for a crystal of As2IO relaxed with PBEsol.

Cell and atoms, written as CIF:
```
data_As2IO
_cell_length_a 7.680
_cell_length_b 7.680
_cell_length_c 7.680
_cell_angle_alpha 140.85
_cell_angle_beta 140.85
_cell_angle_gamma 56.57
_symmetry_space_group_name_H-M 'P 1'
_symmetry_Int_Tables_number 1
loop_
_symmetry_equiv_pos_as_xyz
'x,y,z'
loop_
_atom_site_label
_atom_site_fract_x
_atom_site_fract_y
_atom_site_fract_z
_atom_site_occupancy
As1 0.375 0.163 0.288 1
As2 0.837 0.125 0.212 1
As3 0.875 0.087 0.712 1
As4 0.913 0.625 0.788 1
I1 0.250 0.750 0.500 1
I2 0.500 0.500 0.000 1
O1 0.000 0.000 0.000 1
O2 0.750 0.250 0.500 1
```

Summary:
D(E_F) ... 5.01 states/eV per cell
Calculated total energy ... -20.6822 eV per atom
Raw formation energy ... 0.16 eV per atom

---

11.
## As3IO (SCAN)

Data for a crystal of As3IO relaxed with PBEsol.

Cell and atoms, written as CIF:
```
data_As3IO
_cell_length_a 4.533
_cell_length_b 4.533
_cell_length_c 4.533
_cell_angle_alpha 90.00
_cell_angle_beta 90.00
_cell_angle_gamma 90.00
_symmetry_space_group_name_H-M 'P 1'
_symmetry_Int_Tables_number 1
loop_
_symmetry_equiv_pos_as_xyz
'x,y,z'
loop_
_atom_site_label
_atom_site_fract_x
_atom_site_fract_y
_atom_site_fract_z
_atom_site_occupancy
As1 0.000 0.000 0.500 1
As2 0.000 0.500 0.000 1
As3 0.500 0.000 0.000 1
I1 0.500 0.500 0.500 1
O1 0.000 0.000 0.000 1
```

Summary:
D(E_F) ... 3.87 states/eV per cell
Calculated total energy ... -20.0210 eV per atom
Raw formation energy ... 0.69 eV per atom

---

12.
## AsOsIO2 (SCAN)

Data for a crystal of AsOsIO2 relaxed with PBEsol.

Cell and atoms, written as CIF:
```
data_AsOsIO2
_cell_length_a 3.732
_cell_length_b 3.732
_cell_length_c 6.205
_cell_angle_alpha 90.00
_cell_angle_beta 90.00
_cell_angle_gamma 90.00
_symmetry_space_group_name_H-M 'P 1'
_symmetry_Int_Tables_number 1
loop_
_symmetry_equiv_pos_as_xyz
'x,y,z'
loop_
_atom_site_label
_atom_site_fract_x
_atom_site_fract_y
_atom_site_fract_z
_atom_site_occupancy
As1 0.000 0.000 0.000 1
Os1 0.500 0.500 0.500 1
I1 0.000 0.000 0.500 1
O1 0.000 0.500 0.000 1
O2 0.500 0.000 0.000 1
```

Summary:
D(E_F) ... 2.85 states/eV per cell
Calculated total energy ... -27.6023 eV per atom
Raw formation energy ... 0.65 eV per atom